First-principles (GGA-PBE) data for an optimized crystal structure of TbY2ScAs4, as listed in Alexandria via LeMat-Bulk.

The structure in POSCAR format:
```
TbY2ScAs4
1.0
4.075 0.000 0.000
0.000 7.047 0.122
0.000 -2.465 6.606
As Y Sc Tb
4 2 1 1
direct
0.500 0.760 0.760
0.000 0.245 0.755
0.000 0.755 0.245
0.500 0.240 0.240
0.000 0.500 0.500
0.500 0.000 0.500
0.000 0.000 0.000
0.500 0.500 0.000
```

## Properties
Energy of formation from the pure elements (meV per atom): -1490
Crystal system: monoclinic
Total magnetization (μB per atom): 0.000